1.
Mg2HgOsPd after structural relaxation. Source: the Alexandria database, functional GGA-PBE.

abc: 5.0702 5.0702 4.7702
angles: 90.00 90.00 90.00
Fractional positions:
Mg 0.0000 0.5000 0.0000
Mg 0.5000 0.0000 0.0000
Hg 0.0000 0.0000 0.5000
Os 0.5000 0.5000 0.0000
Pd 0.5000 0.5000 0.5000

Formation energy: 0.71 eV per atom
Calculated density: 7.39 g/cm3
N(E_F): 3.7 states/eV/f.u.
Crystal system: tetragonal



2.
MgHg2OsPd after structural relaxation. Source: the Alexandria database, functional GGA-PBE.

abc: 4.9347 4.9347 4.5647
angles: 90.00 90.00 90.00
Fractional positions:
Mg 0.0000 0.0000 0.0000
Hg 0.0000 0.5000 0.0000
Hg 0.5000 0.0000 0.0000
Os 0.5000 0.5000 0.5000
Pd 0.0000 0.0000 0.5000

Formation energy: 1.42 eV per atom
Calculated density: 10.79 g/cm3
N(E_F): 3.1 states/eV/f.u.
Crystal system: tetragonal



3.
MgHgP2 after structural relaxation. Source: the Alexandria database, functional GGA-PBE.

abc: 4.7272 4.7272 4.7272
angles: 60.00 60.00 60.00
Fractional positions:
Mg 0.0000 0.0000 0.0000
Hg 0.7500 0.7500 0.7500
P 0.2500 0.2500 0.2500
P 0.5000 0.5000 0.5000

Formation energy: 0.39 eV per atom
Calculated density: 6.38 g/cm3
N(E_F): 3.0 states/eV/f.u.
Crystal system: cubic